K3Ag2IrO6 | Alexandria via LeMat-Bulk | PBE-GGA | relaxed; formation energy (no corrections) = -9.654 eV/f.u.; SG = C2/m
1.0
3.031 -5.204 0.000
3.031 5.204 0.000
-1.994 0.000 5.806
K Ag Ir O
3 2 1 6
direct
0.000 0.000 0.000
0.322 0.678 0.000
0.678 0.322 0.000
0.164 0.836 0.500
0.836 0.164 0.500
0.500 0.500 0.500
0.165 0.438 0.317
0.296 0.296 0.690
0.438 0.165 0.317
0.562 0.835 0.683
0.704 0.704 0.310
0.835 0.562 0.683

=====

TiGaFe3 | Alexandria via LeMat-Bulk | PBE-GGA | relaxed; energy of formation = 852 meV/atom; SG = Pm-3m; E above lowest polymorph = 757 meV/atom
1.0
4.389 0.000 0.000
0.000 4.389 0.000
0.000 0.000 4.389
Ti Ga Fe
1 1 3
direct
0.000 0.000 0.000
0.500 0.500 0.500
0.000 0.500 0.500
0.500 0.000 0.500
0.500 0.500 0.000

=====

FeTeIr2 | Alexandria via LeMat-Bulk | PBE-GGA | relaxed; formation energy (no corrections) = 1.697 eV/f.u.; SG = Cmmm
1.0
2.889 -3.696 0.000
2.889 3.696 0.000
0.000 0.000 3.047
Fe Te Ir
1 1 2
direct
0.000 0.000 0.000
0.500 0.500 0.000
0.000 0.500 0.500
0.500 0.000 0.500

=====

SrLaMgC2 | Alexandria via LeMat-Bulk | PBE-GGA | relaxed; energy of formation = 2383 meV/atom; SG = P4/mmm
1.0
4.815 0.000 0.000
0.000 4.815 0.000
0.000 0.000 5.780
Sr La Mg C
1 1 1 2
direct
0.000 0.000 0.000
0.000 0.000 0.500
0.500 0.500 0.500
0.000 0.500 0.000
0.500 0.000 0.000

=====

K2LiMn | Alexandria via LeMat-Bulk | PBE-GGA | relaxed; energy of formation = 685 meV/atom; SG = P2/m; E above lowest polymorph = 150 meV/atom
1.0
3.699 0.000 0.000
0.000 5.287 0.000
-0.062 0.000 8.014
K Li Mn
2 1 1
direct
0.002 0.000 0.259
0.998 0.000 0.741
0.500 0.500 0.000
0.500 0.500 0.500

=====

AcAlAgGe | Alexandria via LeMat-Bulk | PBE-GGA | relaxed; energy of formation = -169 meV/atom; SG = F-43m
1.0
0.000 3.643 3.643
3.643 0.000 3.643
3.643 3.643 0.000
Ac Al Ag Ge
1 1 1 1
direct
0.000 0.000 0.000
0.500 0.500 0.500
0.750 0.750 0.750
0.250 0.250 0.250